Entry 1:
Here is a geometry-optimized Ba5TbBi4 structure from the Alexandria database. Energies are from GGA-PBE.

```
Ba5TbBi4
1.0
5.0512 0.0000 0.0000
0.0000 9.1074 -1.4922
-2.5256 -2.8384 10.9294
Ba Tb Bi
5 1 4
Direct
0.8346 0.5814 0.6693 Ba
0.8342 0.0851 0.6684 Ba
0.1658 0.9149 0.3316 Ba
0.5000 0.5000 0.0000 Ba
0.1654 0.4186 0.3307 Ba
0.5000 0.0000 0.0000 Tb
0.3129 0.8119 0.6258 Bi
0.0003 0.7735 0.0005 Bi
0.6871 0.1881 0.3742 Bi
0.9997 0.2265 0.9995 Bi
```

Calculated values
The calculation puts the volume at 481 Å³/cell. The calculation puts the total moment at 1.05 μB/f.u. Its energy of formation from the pure elements is -0.73 eV per atom.


Entry 2:
Here is a geometry-optimized Ba3TbTh2Bi6 structure from the Alexandria database. Energies are from GGA-PBE.

```
Ba3TbTh2Bi6
1.0
-7.2802 -1.8078 -3.3532
4.6088 -5.9562 3.2858
-2.7183 3.7715 7.2245
Ba Tb Th Bi
3 1 2 6
Direct
0.1672 0.8328 0.5000 Ba
0.8328 0.1672 0.5000 Ba
0.5000 0.5000 0.5000 Ba
0.0000 0.0000 0.0000 Tb
0.3336 0.6664 0.0000 Th
0.6664 0.3336 0.0000 Th
0.9278 0.5963 0.7829 Bi
0.7414 0.7414 0.2180 Bi
0.0722 0.4037 0.2171 Bi
0.5963 0.9278 0.7829 Bi
0.2586 0.2586 0.7820 Bi
0.4037 0.0722 0.2171 Bi
```

Calculated values
The calculation puts the volume at 476 Å³/cell. The calculation puts the total moment at 0.00 μB/f.u. Its energy of formation from the pure elements is -0.79 eV per atom.


Entry 3:
Here is a geometry-optimized Ba2TbThBi4 structure from the Alexandria database. Energies are from GGA-PBE.

```
Ba2TbThBi4
1.0
4.7506 0.0000 0.0000
0.0000 8.1696 0.1222
0.0000 -2.8791 8.0888
Ba Tb Th Bi
2 1 1 4
Direct
0.5000 0.0000 0.5000 Ba
0.0000 0.5000 0.5000 Ba
0.0000 0.0000 0.0000 Tb
0.5000 0.5000 0.0000 Th
0.5000 0.2354 0.2150 Bi
0.5000 0.7646 0.7850 Bi
0.0000 0.2585 0.7826 Bi
0.0000 0.7415 0.2174 Bi
```

Calculated values
The calculation puts the volume at 316 Å³/cell. The calculation puts the total moment at 0.00 μB/f.u. Its energy of formation from the pure elements is -0.79 eV per atom.


Entry 4:
Here is a geometry-optimized Ba3TcBi structure from the Alexandria database. Energies are from GGA-PBE.

```
Ba3TcBi
1.0
-1.1451 3.0270 -4.7460
-4.9634 1.7419 2.3086
2.6556 4.5609 2.2682
Tc Bi Ba
1 1 3
Direct
0.0000 0.0000 0.0000 Tc
0.5000 0.5000 0.5000 Bi
0.0000 0.5000 0.0000 Ba
0.0000 0.0000 0.5000 Ba
0.5000 0.0000 0.0000 Ba
```

Calculated values
The calculation puts the volume at 190 Å³/cell. The calculation puts the total moment at 0.00 μB/f.u. Its energy of formation from the pure elements is 0.09 eV per atom. The excess energy over the best structure of this formula in the dataset comes out at 0 meV/atom.


Entry 5:
Here is a geometry-optimized Ba2TcBi structure from the Alexandria database. Energies are from GGA-PBE.

```
Ba2TcBi
1.0
11.7516 0.0000 0.0000
0.0000 11.7516 0.0000
5.8758 5.8758 2.6614
Tc Bi Ba
2 2 4
Direct
0.5000 0.5000 0.0000 Tc
0.2500 0.7500 0.5000 Tc
0.0000 0.0000 0.0000 Bi
0.7500 0.2500 0.5000 Bi
0.4498 0.1250 0.2500 Ba
0.3002 0.6250 0.2500 Ba
0.3750 0.5502 0.7500 Ba
0.8750 0.6998 0.7500 Ba
```

Calculated values
The calculation puts the volume at 368 Å³/cell. The calculation puts the total moment at 0.74 μB/f.u. Its energy of formation from the pure elements is 0.25 eV per atom.


Entry 6:
Here is a geometry-optimized BaTc2Bi structure from the Alexandria database. Energies are from GGA-PBE.

```
BaTc2Bi
1.0
-2.6396 -4.0801 -0.9560
3.8968 -2.8054 1.2138
-2.4341 -3.6519 9.4777
Tc Bi Ba
4 2 2
Direct
0.8753 0.1250 0.2500 Tc
0.8747 0.6250 0.2500 Tc
0.3750 0.1247 0.7500 Tc
0.8750 0.1253 0.7500 Tc
0.0000 0.0000 0.0000 Bi
0.7500 0.2500 0.5000 Bi
0.5000 0.5000 0.0000 Ba
0.2500 0.7500 0.5000 Ba
```

Calculated values
The calculation puts the volume at 241 Å³/cell. The calculation puts the total moment at 0.93 μB/f.u. Its energy of formation from the pure elements is 0.72 eV per atom.